# TaNi2Pb | Alexandria | PBE-GGA | relaxed
data_TaNi2Pb
_chemical_formula_sum 'Ta2 Ni4 Pb2'
_space_group_name_H-M_alt 'P 1'
_space_group_IT_number 1
_cell_length_a 5.730
_cell_length_b 5.730
_cell_length_c 5.730
_cell_angle_alpha 104.18
_cell_angle_beta 104.18
_cell_angle_gamma 120.66
loop_
_space_group_symop_operation_xyz
'x,y,z'
loop_
_atom_site_label
_atom_site_fract_x
_atom_site_fract_y
_atom_site_fract_z
_atom_site_occupancy
Ta1 0.000 0.000 0.000 1
Ta2 0.750 0.250 0.500 1
Ni1 0.102 0.625 0.977 1
Ni2 0.375 0.352 0.477 1
Ni3 0.648 0.125 0.023 1
Ni4 0.875 0.898 0.523 1
Pb1 0.250 0.750 0.500 1
Pb2 0.500 0.500 0.000 1
# ρ	11.942	Mg/m³
# formation energy from the elements	0.494	eV/atom
# total magnetic moment	0.00	Bohr magnetons per cell
# final energy	-6.29	eV per atom


# TaNi2Pb | Alexandria | PBE-GGA | relaxed
data_TaNi2Pb
_chemical_formula_sum 'Ta1 Ni2 Pb1'
_space_group_name_H-M_alt 'P 1'
_space_group_IT_number 1
_cell_length_a 3.204
_cell_length_b 3.204
_cell_length_c 6.401
_cell_angle_alpha 90.00
_cell_angle_beta 90.00
_cell_angle_gamma 90.00
loop_
_space_group_symop_operation_xyz
'x,y,z'
loop_
_atom_site_label
_atom_site_fract_x
_atom_site_fract_y
_atom_site_fract_z
_atom_site_occupancy
Ta1 0.000 0.000 0.000 1
Ni1 0.000 0.000 0.391 1
Ni2 0.500 0.500 0.198 1
Pb1 0.500 0.500 0.649 1
# ρ	12.777	Mg/m³
# formation energy from the elements	0.199	eV/atom
# total magnetic moment	0.00	Bohr magnetons per cell
# final energy	-6.58	eV per atom


# TaNi3Pb | Alexandria | PBE-GGA | relaxed
data_TaNi3Pb
_chemical_formula_sum 'Ta1 Ni3 Pb1'
_space_group_name_H-M_alt 'P 1'
_space_group_IT_number 1
_cell_length_a 4.648
_cell_length_b 4.648
_cell_length_c 4.648
_cell_angle_alpha 90.00
_cell_angle_beta 90.00
_cell_angle_gamma 90.00
loop_
_space_group_symop_operation_xyz
'x,y,z'
loop_
_atom_site_label
_atom_site_fract_x
_atom_site_fract_y
_atom_site_fract_z
_atom_site_occupancy
Ta1 0.000 0.000 0.000 1
Ni1 0.000 0.000 0.500 1
Ni2 0.000 0.500 0.000 1
Ni3 0.500 0.000 0.000 1
Pb1 0.500 0.500 0.500 1
# ρ	9.330	Mg/m³
# energy above the lowest structure with this stoichiometry	0.000	eV per atom
# formation energy from the elements	1.002	eV/atom
# total magnetic moment	0.00	Bohr magnetons per cell
# final energy	-5.58	eV per atom


Q: Number 1 is which compound?
A: TaNi2Pb


Q: Which value of formation energy from the elements does entry 2 give?
A: 0.199 eV/atom